Compound: LiHfAsSe2
Source: the Alexandria database
Functional: PBE-GGA
Structure: optimized geometry Values from VASP.

Computed properties:
Its uncorrected formation energy is -0.4947 eV/atom. As for the total magnetization: 0.007 μB per atom. The energy above the most stable polymorph in this dataset is 0.000 eV per atom. As for the space-group type: P4/mmm, No. 123.

Geometry as Quantum ESPRESSO input:
```
&SYSTEM
  ibrav = 0, nat = 5, ntyp = 4
/
ATOMIC_SPECIES
As 74.92 As.upf
Hf 178.49 Hf.upf
Se 78.96 Se.upf
Li 6.94 Li.upf
CELL_PARAMETERS angstrom
-1.4495 -3.0234 -3.9740
-3.0839 -2.7125 3.1885
-3.9171 3.2375 -1.0343
ATOMIC_POSITIONS angstrom
As -1.9585 1.6188 -0.5171
Hf 0.0000 0.0000 0.0000
Se -1.5419 -1.3563 1.5942
Se -0.7248 -1.5117 -1.9870
Li -4.2252 -1.2492 -0.9099
```